Material: RbBaH2
Method: DFT, PBE-GGA
State: optimized geometry

a b c (Å): 7.629 4.378 7.575
angles (deg): 90.00 90.15 90.00
Positions (direct):
Rb 0.447 0.000 0.407
Rb 0.447 0.500 0.907
Ba 0.022 0.000 0.072
Ba 0.022 0.500 0.572
H 0.051 0.000 0.406
H 0.051 0.500 0.906
H 0.217 0.000 0.739
H 0.217 0.500 0.239

- offset from the most stable computed form (kJ/mol of atoms) = 3.9
- electronic total energy (eV/atom) = -2.6278

Material: Li2CePaS4
Method: DFT, PBE-GGA
State: optimized geometry

a b c (Å): 3.927 6.859 6.663
angles (deg): 109.92 90.00 90.00
Positions (direct):
Li 0.500 0.000 0.500
Li 0.000 0.500 0.500
Ce 0.000 0.000 0.000
Pa 0.500 0.500 0.000
S 0.500 0.263 0.260
S 0.500 0.737 0.740
S 0.000 0.254 0.741
S 0.000 0.746 0.259

- energy relative to the elements, uncorrected (eV per atom) = -1.586
- electronic total energy (eV/atom) = -6.0568

Material: Cs2TiBr2F4
Method: DFT, PBE-GGA
State: optimized geometry

a b c (Å): 6.901 6.901 6.901
angles (deg): 96.83 116.14 116.14
Positions (direct):
Cs 0.500 0.750 0.250
Cs 0.500 0.250 0.750
Ti 0.000 0.000 0.000
Br 0.000 0.718 0.718
Br 0.000 0.282 0.282
F 0.000 0.818 0.182
F 0.637 0.818 0.818
F 0.000 0.182 0.818
F 0.363 0.182 0.182

- energy relative to the elements, uncorrected (eV per atom) = -2.678
- electronic total energy (eV/atom) = -4.9480

Material: CdHg2Se
Method: DFT, PBE-GGA
State: optimized geometry

a b c (Å): 4.334 4.334 7.796
angles (deg): 73.71 73.71 59.04
Positions (direct):
Cd 0.239 0.239 0.305
Hg 0.989 0.989 0.013
Hg 0.745 0.745 0.751
Se 0.527 0.527 0.431

- energy relative to the elements, uncorrected (eV per atom) = -0.165
- electronic total energy (eV/atom) = -1.4162

Material: Sc4FeBr5
Method: DFT, PBE-GGA
State: optimized geometry

a b c (Å): 11.197 11.197 16.149
angles (deg): 90.00 90.00 90.00
Positions (direct):
Sc 0.373 0.627 0.091
Sc 0.873 0.873 0.591
Sc 0.127 0.127 0.591
Sc 0.627 0.373 0.091
Sc 0.127 0.873 0.409
Sc 0.627 0.627 0.909
Sc 0.373 0.373 0.909
Sc 0.873 0.127 0.409
Sc 0.386 0.185 0.075
Sc 0.886 0.315 0.575
Sc 0.114 0.685 0.575
Sc 0.614 0.815 0.075
Sc 0.114 0.315 0.425
Sc 0.614 0.185 0.925
Sc 0.386 0.815 0.925
Sc 0.886 0.685 0.425
Sc 0.185 0.386 0.075
Sc 0.315 0.886 0.575
Sc 0.685 0.114 0.575
Sc 0.815 0.614 0.075
Sc 0.315 0.114 0.425
Sc 0.185 0.614 0.925
Sc 0.815 0.386 0.925
Sc 0.685 0.886 0.425
Sc 0.388 0.388 0.221
Sc 0.888 0.112 0.721
Sc 0.112 0.888 0.721
Sc 0.612 0.612 0.221
Sc 0.112 0.112 0.279
Sc 0.612 0.388 0.779
Sc 0.388 0.612 0.779
Sc 0.888 0.888 0.279
Fe 0.401 0.401 0.068
Fe 0.901 0.099 0.568
Fe 0.099 0.901 0.568
Fe 0.599 0.599 0.068
Fe 0.099 0.099 0.432
Fe 0.599 0.401 0.932
Fe 0.401 0.599 0.932
Fe 0.901 0.901 0.432
Br 0.367 0.133 0.250
Br 0.867 0.367 0.750
Br 0.133 0.633 0.750
Br 0.633 0.867 0.250
Br 0.133 0.367 0.250
Br 0.633 0.133 0.750
Br 0.367 0.867 0.750
Br 0.867 0.633 0.250
Br 0.146 0.146 0.084
Br 0.646 0.354 0.584
Br 0.354 0.646 0.584
Br 0.854 0.854 0.084
Br 0.354 0.354 0.416
Br 0.854 0.146 0.916
Br 0.146 0.854 0.916
Br 0.646 0.646 0.416
Br 0.124 0.876 0.234
Br 0.624 0.624 0.734
Br 0.376 0.376 0.734
Br 0.876 0.124 0.234
Br 0.376 0.624 0.266
Br 0.876 0.876 0.766
Br 0.124 0.124 0.766
Br 0.624 0.376 0.266
Br 0.379 0.889 0.088
Br 0.879 0.611 0.588
Br 0.121 0.389 0.588
Br 0.621 0.111 0.088
Br 0.121 0.611 0.412
Br 0.621 0.889 0.912
Br 0.379 0.111 0.912
Br 0.879 0.389 0.412
Br 0.889 0.379 0.088
Br 0.611 0.879 0.588
Br 0.389 0.121 0.588
Br 0.111 0.621 0.088
Br 0.611 0.121 0.412
Br 0.889 0.621 0.912
Br 0.111 0.379 0.912
Br 0.389 0.879 0.412

- energy relative to the elements, uncorrected (eV per atom) = -1.262
- offset from the most stable computed form (kJ/mol of atoms) = 0.0
- electronic total energy (eV/atom) = -5.4777

Material: NbCuNi2
Method: DFT, PBE-GGA
State: optimized geometry

a b c (Å): 6.602 6.602 5.328
angles (deg): 51.71 51.71 90.00
Positions (direct):
Ni 0.614 0.125 0.250
Ni 0.136 0.625 0.250
Ni 0.375 0.386 0.750
Ni 0.875 0.864 0.750
Nb 0.000 0.000 0.000
Nb 0.750 0.250 0.500
Cu 0.500 0.500 0.000
Cu 0.250 0.750 0.500

- formation energy (meV per atom) = 352.6
- electronic total energy (eV/atom) = -6.0795